[1]
Below is an optimized crystal structure of KRbN2, with properties calculated at the PBE level.

The value obtained for the volume is 269.4 Å³/cell. Its total DFT energy (no corrections) is -37.89 eV/cell. The mass density comes out at 1.881 g cm⁻³.

The structure belongs to space group P-1 (No. 2); the cell edges are 4.474, 7.436 and 8.371 Å and the angles 99.09°, 99.99° and 94.14°. The distinct sites, in fractional coordinates, are K at (0.141, 0.389, 0.274), Rb at (0.375, 0.119, 0.737), N at (0.136, 0.760, 0.463) and N at (0.351, 0.713, 0.546).

=====

[2]
Below is an optimized crystal structure of KRbSN2, with properties calculated at the PBE level.

The value obtained for the volume is 184.6 Å³/cell. Its total DFT energy (no corrections) is -15.16 eV/cell. The mass density comes out at 1.661 g cm⁻³.

The structure belongs to space group P4/mmm (No. 123); the cell edges are 5.449, 5.449 and 6.218 Å and the angles 90.00°, 90.00° and 90.00°. The distinct sites, in fractional coordinates, are K at (0.000, 0.000, 0.000), Rb at (0.500, 0.500, 0.500), S at (0.500, 0.500, 0.000) and N at (0.000, 0.500, 0.500).

=====

[3]
Below is an optimized crystal structure of KRbSN2, with properties calculated at the PBE level.

The value obtained for the volume is 169.9 Å³/cell. Its total DFT energy (no corrections) is -15.64 eV/cell. The mass density comes out at 1.804 g cm⁻³.

The structure belongs to space group P4/mmm (No. 123); the cell edges are 5.311, 5.311 and 6.024 Å and the angles 90.00°, 90.00° and 90.00°. The distinct sites, in fractional coordinates, are K at (0.000, 0.000, 0.000), Rb at (0.500, 0.500, 0.500), S at (0.000, 0.000, 0.500) and N at (0.000, 0.500, 0.000).

=====

[4]
Below is an optimized crystal structure of KRbS2N, with properties calculated at the PBE level.

The value obtained for the volume is 187.2 Å³/cell. Its total DFT energy (no corrections) is -14.46 eV/cell. The mass density comes out at 1.798 g cm⁻³.

The structure belongs to space group P4/mmm (No. 123); the cell edges are 5.903, 5.903 and 5.372 Å and the angles 90.00°, 90.00° and 90.00°. The distinct sites, in fractional coordinates, are K at (0.000, 0.000, 0.000), Rb at (0.500, 0.500, 0.500), S at (0.000, 0.500, 0.000) and N at (0.000, 0.000, 0.500).

=====

[5]
Below is an optimized crystal structure of KRbS2N, with properties calculated at the PBE level.

The value obtained for the volume is 204.3 Å³/cell. Its total DFT energy (no corrections) is -13.93 eV/cell. The mass density comes out at 1.647 g cm⁻³.

The structure belongs to space group P4/mmm (No. 123); the cell edges are 6.081, 6.081 and 5.525 Å and the angles 90.00°, 90.00° and 90.00°. The distinct sites, in fractional coordinates, are K at (0.000, 0.000, 0.000), Rb at (0.500, 0.500, 0.500), S at (0.000, 0.500, 0.500) and N at (0.500, 0.500, 0.000).

=====

[6]
Below is an optimized crystal structure of KRbSe2N, with properties calculated at the PBE level.

The value obtained for the volume is 203.6 Å³/cell. Its total DFT energy (no corrections) is -13.76 eV/cell. The mass density comes out at 2.419 g cm⁻³.

The structure belongs to space group P4/mmm (No. 123); the cell edges are 6.156, 6.156 and 5.372 Å and the angles 90.00°, 90.00° and 90.00°. The distinct sites, in fractional coordinates, are K at (0.000, 0.000, 0.000), Rb at (0.500, 0.500, 0.500), Se at (0.000, 0.500, 0.000) and N at (0.000, 0.000, 0.500).

=====

[7]
Below is an optimized crystal structure of KRbSeN2, with properties calculated at the PBE level.

The value obtained for the volume is 196.7 Å³/cell. Its total DFT energy (no corrections) is -14.82 eV/cell. The mass density comes out at 1.955 g cm⁻³.

The structure belongs to space group P4/mmm (No. 123); the cell edges are 5.475, 5.475 and 6.562 Å and the angles 90.00°, 90.00° and 90.00°. The distinct sites, in fractional coordinates, are K at (0.000, 0.000, 0.000), Rb at (0.500, 0.500, 0.500), Se at (0.500, 0.500, 0.000) and N at (0.000, 0.500, 0.500).

=====

[8]
Below is an optimized crystal structure of KRbSeN2, with properties calculated at the PBE level.

The value obtained for the volume is 180.4 Å³/cell. Its total DFT energy (no corrections) is -15.27 eV/cell. The mass density comes out at 2.131 g cm⁻³.

The structure belongs to space group P4/mmm (No. 123); the cell edges are 5.363, 5.363 and 6.274 Å and the angles 90.00°, 90.00° and 90.00°. The distinct sites, in fractional coordinates, are K at (0.000, 0.000, 0.000), Rb at (0.500, 0.500, 0.500), Se at (0.000, 0.000, 0.500) and N at (0.000, 0.500, 0.000).

=====

[9]
Below is an optimized crystal structure of KRbSe2N, with properties calculated at the PBE level.

The value obtained for the volume is 222.5 Å³/cell. Its total DFT energy (no corrections) is -13.24 eV/cell. The mass density comes out at 2.213 g cm⁻³.

The structure belongs to space group P4/mmm (No. 123); the cell edges are 6.346, 6.346 and 5.525 Å and the angles 90.00°, 90.00° and 90.00°. The distinct sites, in fractional coordinates, are K at (0.000, 0.000, 0.000), Rb at (0.500, 0.500, 0.500), Se at (0.000, 0.500, 0.500) and N at (0.500, 0.500, 0.000).

=====

[10]
Below is an optimized crystal structure of KRb2SrN, with properties calculated at the PBE level.

The value obtained for the volume is 596.4 Å³/cell. Its total DFT energy (no corrections) is -6.35 eV/cell. The mass density comes out at 0.868 g cm⁻³.

The structure belongs to space group P4/mmm (No. 123); the cell edges are 8.534, 8.534 and 8.190 Å and the angles 90.00°, 90.00° and 90.00°. The distinct sites, in fractional coordinates, are K at (0.000, 0.000, 0.000), Rb at (0.000, 0.500, 0.500), Sr at (0.000, 0.000, 0.500) and N at (0.500, 0.500, 0.000).

=====

[11]
Below is an optimized crystal structure of KRbTe2N, with properties calculated at the PBE level.

The value obtained for the volume is 253.4 Å³/cell. Its total DFT energy (no corrections) is -12.54 eV/cell. The mass density comes out at 2.581 g cm⁻³.

The structure belongs to space group P4/mmm (No. 123); the cell edges are 6.788, 6.788 and 5.499 Å and the angles 90.00°, 90.00° and 90.00°. The distinct sites, in fractional coordinates, are K at (0.000, 0.000, 0.000), Rb at (0.500, 0.500, 0.500), Te at (0.000, 0.500, 0.500) and N at (0.500, 0.500, 0.000).

=====

[12]
Below is an optimized crystal structure of KRbTe2N, with properties calculated at the PBE level.

The value obtained for the volume is 231.2 Å³/cell. Its total DFT energy (no corrections) is -13.03 eV/cell. The mass density comes out at 2.829 g cm⁻³.

The structure belongs to space group P4/mmm (No. 123); the cell edges are 6.579, 6.579 and 5.341 Å and the angles 90.00°, 90.00° and 90.00°. The distinct sites, in fractional coordinates, are K at (0.000, 0.000, 0.000), Rb at (0.500, 0.500, 0.500), Te at (0.000, 0.500, 0.000) and N at (0.000, 0.000, 0.500).

=====

[13]
Below is an optimized crystal structure of KRbU4N8, with properties calculated at the PBE level.

The value obtained for the volume is 882.1 Å³/cell. Its total DFT energy (no corrections) is -387.17 eV/cell. The mass density comes out at 6.713 g cm⁻³.

The structure belongs to space group R3m (No. 160, hexagonal axes); the cell edges are 7.0105, 7.0105 and 20.7256 Å and the angles 90.00°, 90.00° and 120.00°. The distinct sites, in fractional coordinates, are K at (0.0000, 0.0000, 0.0000), Rb at (0.0000, 0.0000, 0.6512), U at (0.0000, 0.0000, 0.4842), U at (0.1675, 0.3350, 0.8294), N at (0.0000, 0.0000, 0.2058), N at (0.0000, 0.0000, 0.7862), N at (0.0075, 0.5038, 0.2046) and N at (0.0110, 0.5055, 0.7802).

=====

[14]
Below is an optimized crystal structure of KRbUN3, with properties calculated at the PBE level.

The value obtained for the volume is 548.1 Å³/cell. Its total DFT energy (no corrections) is -164.00 eV/cell. The mass density comes out at 4.903 g cm⁻³.

The structure belongs to space group C2/c (No. 15); the cell edges are 6.766, 13.930 and 5.883 Å and the angles 90.00°, 98.63° and 90.00°. The distinct sites, in fractional coordinates, are K at (0.000, 0.233, 0.250), Rb at (0.000, 0.411, 0.750), U at (0.000, 0.062, 0.750), N at (0.000, 0.201, 0.750) and N at (0.176, 0.044, 0.508).

=====

[15]
Below is an optimized crystal structure of KRb2ZnN, with properties calculated at the PBE level.

The value obtained for the volume is 272.7 Å³/cell. Its total DFT energy (no corrections) is -6.80 eV/cell. The mass density comes out at 1.762 g cm⁻³.

The structure belongs to space group P4/mmm (No. 123); the cell edges are 6.613, 6.613 and 6.236 Å and the angles 90.00°, 90.00° and 90.00°. The distinct sites, in fractional coordinates, are K at (0.000, 0.000, 0.000), Rb at (0.000, 0.500, 0.500), Zn at (0.000, 0.000, 0.500) and N at (0.500, 0.500, 0.000).

=====

[16]
Below is an optimized crystal structure of KRb2ZnN, with properties calculated at the PBE level.

The value obtained for the volume is 210.4 Å³/cell. Its total DFT energy (no corrections) is -8.30 eV/cell. The mass density comes out at 2.285 g cm⁻³.

The structure belongs to space group P4/mmm (No. 123); the cell edges are 6.770, 6.770 and 4.590 Å and the angles 90.00°, 90.00° and 90.00°. The distinct sites, in fractional coordinates, are K at (0.000, 0.000, 0.000), Rb at (0.000, 0.500, 0.000), Zn at (0.500, 0.500, 0.500) and N at (0.000, 0.000, 0.500).

=====

[17]
Below is an optimized crystal structure of KReN, with properties calculated at the PBE level.

The value obtained for the volume is 109.9 Å³/cell. Its total DFT energy (no corrections) is -42.31 eV/cell. The mass density comes out at 7.231 g cm⁻³.

The structure belongs to space group P1 (No. 1); the cell edges are 2.975, 2.978 and 12.494 Å and the angles 87.62°, 83.64° and 89.95°. The distinct sites, in fractional coordinates, are K at (0.000, 0.000, 0.000), K at (0.313, 0.094, 0.361), Re at (0.093, 0.540, 0.758), Re at (0.699, 0.032, 0.603), N at (0.565, 0.525, 0.860) and N at (0.748, 0.570, 0.501).

=====

[18]
Below is an optimized crystal structure of KReN2, with properties calculated at the PBE level.

The value obtained for the volume is 593.5 Å³/cell. Its total DFT energy (no corrections) is -247.87 eV/cell. The mass density comes out at 5.670 g cm⁻³.

The structure belongs to space group Pbcm (No. 57); the cell edges are 7.813, 6.211 and 12.231 Å and the angles 90.00°, 90.00° and 90.00°. The distinct sites, in fractional coordinates, are K at (0.113, 0.059, 0.250), K at (0.365, 0.250, 0.000), Re at (0.134, 0.750, 0.000), Re at (0.391, 0.622, 0.250), N at (0.000, 0.000, 0.000), N at (0.274, 0.696, 0.123) and N at (0.420, 0.183, 0.750).

=====

[19]
Below is an optimized crystal structure of KReN2, with properties calculated at the PBE level.

The value obtained for the volume is 299.5 Å³/cell. Its total DFT energy (no corrections) is -123.61 eV/cell. The mass density comes out at 5.619 g cm⁻³.

The structure belongs to space group I-42d (No. 122); the cell edges are 5.648, 5.648 and 9.387 Å and the angles 90.00°, 90.00° and 90.00°. The distinct sites, in fractional coordinates, are K at (0.000, 0.000, 0.000), Re at (0.000, 0.000, 0.500) and N at (0.074, 0.250, 0.625).

=====

[20]
Below is an optimized crystal structure of K2ReN3, with properties calculated at the PBE level.

The value obtained for the volume is 510.2 Å³/cell. Its total DFT energy (no corrections) is -165.84 eV/cell. The mass density comes out at 3.989 g cm⁻³.

The structure belongs to space group Cmc2_1 (No. 36); the cell edges are 12.035, 7.060 and 6.005 Å and the angles 90.00°, 90.00° and 90.00°. The distinct sites, in fractional coordinates, are K at (0.157, 0.183, 0.000), Re at (0.000, 0.349, 0.484), N at (0.000, 0.451, 0.190) and N at (0.120, 0.205, 0.515).